BaAcAlS4 | PBE-GGA | relaxed

## Properties
- Magnetization: 0.000 μB per formula unit
- DFT total energy: -5.597 eV/atom
- Raw formation energy: -12.90 eV/f.u.

a b c (Å): 6.8276 6.7842 8.6864
angles (deg): 90.00 107.73 90.00
Closest atoms and distances in Å follow each position.
Space group P2_1/m (No. 11)
One atom of each set of equivalent atoms:
Ba1 0.2280 0.2500 0.4307 [2 per cell]  8 S 3.19-3.54
Ac1 0.2742 0.2500 0.9474 [2 per cell]  6 S 3.00-3.10
Al1 0.2766 0.7500 0.1922 [2 per cell]  4 S 2.25-2.26
S1 0.0804 0.7500 0.3581 [2 per cell]  1 Al 2.25
S2 0.0928 0.7500 0.9280 [2 per cell]  1 Al 2.26
S3 0.4985 0.0038 0.2409 [4 per cell]  1 Al 2.25



Pr6P3AuS2 | PBE-GGA | relaxed

## Properties
- Magnetization: 0.000 μB per formula unit
- DFT total energy: -6.288 eV/atom
- Raw formation energy: -19.01 eV/f.u.

a b c (Å): 18.2758 4.1838 8.4340
angles (deg): 90.00 103.31 90.00
Closest atoms and distances in Å follow each position.
Space group C2/m (No. 12)
One atom of each set of equivalent atoms:
Pr1 0.9999 0.0000 0.2339 [4 per cell]  3 P 2.88-2.95, 1 S 2.99, 2 Au 3.07
Pr2 0.1660 0.5000 0.0877 [4 per cell]  3 P 2.95, 3 S 2.96-2.99
Pr3 0.1732 0.5000 0.5850 [4 per cell]  3 P 2.86-2.96, 2 S 2.99, 1 Au 3.08
P1 0.0000 0.5000 0.0000 [2 per cell]  6 Pr 2.88-2.95
P2 0.1659 0.0000 0.3337 [4 per cell]  6 Pr 2.86-2.96
Au1 0.0000 0.5000 0.5000 [2 per cell]  6 Pr 3.07-3.08
S1 0.1678 0.0000 0.8353 [4 per cell]  6 Pr 2.96-2.99



BaNiW | PBE-GGA | relaxed

## Properties
- Magnetization: 0.000 μB per formula unit
- Energy of formation from the pure elements: 1.4 eV/f.u.
- DFT total energy: -6.430 eV/atom

a b c (Å): 4.3485 12.6378 5.1166
angles (deg): 90.00 90.00 90.00
Closest atoms and distances in Å follow each position.
Space group Cmcm (No. 63)
One atom of each set of equivalent atoms:
Ba1 0.0000 0.2040 0.2500 [4 per cell]  3 Ni 3.12-3.27
Ni1 0.0000 0.0428 0.7500 [4 per cell]  4 W 2.58, 2 Ni 2.78
W1 0.0000 0.5000 0.0000 [4 per cell]  2 W 2.56, 4 Ni 2.58



Sr2AlGa4Cu3 | PBE-GGA | relaxed

## Properties
- Magnetization: 0.000 μB per formula unit
- Energy of formation from the pure elements: -3.2 eV/f.u.
- DFT total energy: -3.471 eV/atom

a b c (Å): 4.2788 4.2788 10.7642
angles (deg): 90.00 90.00 90.00
Closest atoms and distances in Å follow each position.
Space group P-4m2 (No. 115)
One atom of each set of equivalent atoms:
Sr1 0.0000 0.5000 0.2456 [2 per cell]  8 Ga 3.27-3.40, 6 Cu 3.28-3.48, 2 Al 3.48
Al1 0.0000 0.0000 0.5000 [1 per cell]  4 Ga 2.61
Ga1 0.0000 0.0000 0.0000 [1 per cell]  4 Cu 2.54
Ga2 0.0000 0.5000 0.6383 [2 per cell]  3 Cu 2.52-2.61, 2 Al 2.61
Ga3 0.5000 0.5000 0.0000 [1 per cell]  4 Cu 2.54
Cu1 0.0000 0.5000 0.8728 [2 per cell]  5 Ga 2.52-2.54
Cu2 0.5000 0.5000 0.5000 [1 per cell]  4 Ga 2.61



AgPt2 | PBE-GGA | relaxed

## Properties
- Magnetization: 0.000 μB per formula unit
- Energy of formation from the pure elements: 1.2 eV/f.u.
- DFT total energy: -4.568 eV/atom

a b c (Å): 3.5711 3.5711 17.5375
angles (deg): 90.00 90.00 90.00
Closest atoms and distances in Å follow each position.
Space group I4_1/amd (No. 141, origin choice 2)
One atom of each set of equivalent atoms:
Ag1 0.0000 0.2500 0.3750 [4 per cell]  8 Pt 2.83
Pt1 0.0000 0.2500 0.8015 [8 per cell]  3 Pt 2.54-2.58, 4 Ag 2.83



ZnMo3 | PBE-GGA | relaxed

## Properties
- Magnetization: 0.000 μB per formula unit
- Energy of formation from the pure elements: 1.3 eV/f.u.
- DFT total energy: -8.129 eV/atom

a b c (Å): 2.7663 2.7663 9.5128
angles (deg): 90.00 90.00 120.00
Closest atoms and distances in Å follow each position.
Space group P-6m2 (No. 187)
One atom of each set of equivalent atoms:
Zn1 0.0000 0.0000 0.0000 [1 per cell]  6 Zn 2.77, 6 Mo 2.83
Mo1 0.0000 0.0000 0.5000 [1 per cell]  12 Mo 2.77-2.90
Mo2 0.6667 0.3333 0.2453 [2 per cell]  9 Mo 2.77-2.90, 3 Zn 2.83



La2PmCuTe5 | PBE-GGA | relaxed

## Properties
- Magnetization: 0.000 μB per formula unit
- DFT total energy: -5.125 eV/atom
- Raw formation energy: -11.71 eV/f.u.

a b c (Å): 4.4016 19.3479 13.1584
angles (deg): 90.00 90.00 90.00
Closest atoms and distances in Å follow each position.
Space group Cmc2_1 (No. 36)
One atom of each set of equivalent atoms:
La1 0.0000 0.1097 0.0000 [4 per cell]  8 Te 3.31-3.48
La2 0.0000 0.1209 0.6251 [4 per cell]  6 Te 3.24-3.36
Pm1 0.0000 0.1916 0.3250 [4 per cell]  6 Te 3.00-3.20, 2 Cu 3.30
Cu1 0.0000 0.4296 0.7698 [4 per cell]  4 Te 2.64-2.69
Te1 0.0000 0.0399 0.3733 [4 per cell]  2 Cu 2.65
Te2 0.0000 0.2893 0.9919 [4 per cell]  2 Pm 3.13, 3 La 3.31-3.48
Te3 0.0000 0.3136 0.6571 [4 per cell]  1 Cu 2.69
Te4 0.0000 0.3571 0.3154 [4 per cell]  1 Pm 3.20, 4 La 3.34-3.36
Te5 0.0000 0.4993 0.5971 [4 per cell]  1 Cu 2.64



MnIrW | PBE-GGA | relaxed

## Properties
- Magnetization: 2.758 μB per formula unit
- Energy of formation from the pure elements: 0.1 eV/f.u.
- DFT total energy: -10.289 eV/atom

a b c (Å): 4.2973 4.2973 2.7157
angles (deg): 90.00 90.00 120.00
Closest atoms and distances in Å follow each position.
Space group P3m1 (No. 156)
One atom of each set of equivalent atoms:
Mn1 0.0000 0.0000 0.0000 [1 per cell]  3 W 2.58, 3 Ir 2.65, 2 Mn 2.72
Ir1 0.6667 0.3333 0.6550 [1 per cell]  3 Mn 2.65, 6 W 2.71-2.97, 2 Ir 2.72
W1 0.3333 0.6667 0.2554 [1 per cell]  3 Mn 2.58, 3 Ir 2.71, 2 W 2.72



CsNbTc2 | PBE-GGA | relaxed

## Properties
- Magnetization: 0.000 μB per formula unit
- Energy of formation from the pure elements: 6.4 eV/f.u.
- DFT total energy: -6.317 eV/atom

a b c (Å): 6.7381 6.7381 6.7381
angles (deg): 90.00 90.00 90.00
Closest atoms and distances in Å follow each position.
Space group Fm-3m (No. 225)
One atom of each set of equivalent atoms:
Cs1 0.0000 0.0000 0.0000 [4 per cell]  8 Tc 2.92
Nb1 0.0000 0.0000 0.5000 [4 per cell]  8 Tc 2.92
Tc1 0.2500 0.2500 0.2500 [8 per cell]  4 Nb 2.92, 4 Cs 2.92



Mg5SbRh6 | PBE-GGA | relaxed

## Properties
- Magnetization: 0.000 μB per formula unit
- DFT total energy: -5.277 eV/atom
- Raw formation energy: -7.12 eV/f.u.

a b c (Å): 4.4408 6.2691 13.2589
angles (deg): 90.00 90.00 90.00
Closest atoms and distances in Å follow each position.
Space group Immm (No. 71)
One atom of each set of equivalent atoms:
Mg1 0.0000 0.0000 0.0000 [2 per cell]  8 Rh 2.70-2.74
Mg2 0.0000 0.0000 0.3278 [4 per cell]  8 Rh 2.69-2.75
Mg3 0.0000 0.5000 0.3337 [4 per cell]  8 Rh 2.73
Sb1 0.0000 0.5000 0.0000 [2 per cell]  8 Rh 2.67-2.70
Rh1 0.0000 0.2442 0.5000 [4 per cell]  2 Sb 2.70, 6 Mg 2.73-2.75
Rh2 0.0000 0.2531 0.1643 [8 per cell]  1 Sb 2.67, 7 Mg 2.69-2.73



Cs2Mg2NpSe4 | PBE-GGA | relaxed

## Properties
- Magnetization: 4.984 μB per formula unit
- DFT total energy: -4.660 eV/atom
- Raw formation energy: -10.17 eV/f.u.

a b c (Å): 16.3190 4.3335 8.5552
angles (deg): 90.00 107.16 90.00
Closest atoms and distances in Å follow each position.
Space group C2/m (No. 12)
One atom of each set of equivalent atoms:
Cs1 0.1273 0.0000 0.0414 [4 per cell]  7 Se 3.70-3.84, 1 Cs 4.00
Mg1 0.1709 0.5000 0.4790 [4 per cell]  4 Se 2.56-2.68
Np1 0.0000 0.0000 0.5000 [2 per cell]  6 Se 2.99-3.18
Se1 0.0207 0.5000 0.2740 [4 per cell]  1 Mg 2.56
Se2 0.2024 0.0000 0.6609 [4 per cell]  3 Mg 2.63-2.68



Sr2MoAu | PBE-GGA | relaxed

## Properties
- Magnetization: 2.855 μB per formula unit
- Energy of formation from the pure elements: 1.5 eV/f.u.
- DFT total energy: -3.983 eV/atom

a b c (Å): 3.8119 5.2930 11.5493
angles (deg): 90.00 90.00 90.00
Closest atoms and distances in Å follow each position.
Space group Imm2 (No. 44)
One atom of each set of equivalent atoms:
Sr1 0.0000 0.0000 0.0000 [2 per cell]  4 Mo 3.38, 2 Au 3.50, 2 Sr 3.60
Sr2 0.0000 0.5000 0.2110 [2 per cell]  4 Au 3.30, 2 Sr 3.60, 2 Mo 3.61
Mo1 0.0000 0.0000 0.4235 [2 per cell]  2 Au 2.73
Au1 0.0000 0.5000 0.7540 [2 per cell]  2 Mo 2.73



PmAgRh4 | PBE-GGA | relaxed

## Properties
- Magnetization: 0.244 μB per formula unit
- Energy of formation from the pure elements: -1.6 eV/f.u.
- DFT total energy: -6.439 eV/atom

a b c (Å): 7.4913 7.4913 7.4913
angles (deg): 90.00 90.00 90.00
Closest atoms and distances in Å follow each position.
Space group F-43m (No. 216)
One atom of each set of equivalent atoms:
Pm1 0.0000 0.0000 0.0000 [4 per cell]  12 Rh 3.11, 4 Ag 3.24
Ag1 0.2500 0.2500 0.2500 [4 per cell]  12 Rh 3.10, 4 Pm 3.24
Rh1 0.1247 0.1247 0.6247 [16 per cell]  6 Rh 2.64-2.66



Y2ScRu | PBE-GGA | relaxed

## Properties
- Magnetization: 0.000 μB per formula unit
- Energy of formation from the pure elements: -1.3 eV/f.u.
- DFT total energy: -7.459 eV/atom

a b c (Å): 7.1152 9.0420 6.2455
angles (deg): 90.00 90.00 90.00
Closest atoms and distances in Å follow each position.
Space group Pnma (No. 62)
One atom of each set of equivalent atoms:
Y1 0.1791 0.0622 0.1741 [8 per cell]  3 Ru 2.89-3.08
Sc1 0.0453 0.2500 0.6342 [4 per cell]  2 Ru 2.57-2.63
Ru1 0.1171 0.7500 0.9880 [4 per cell]  2 Sc 2.57-2.63



Tm2SiC | PBE-GGA | relaxed

## Properties
- Magnetization: 0.000 μB per formula unit
- DFT total energy: -6.302 eV/atom
- Raw formation energy: -1.62 eV/f.u.

a b c (Å): 3.5143 3.5143 21.8684
angles (deg): 90.00 90.00 120.00
Closest atoms and distances in Å follow each position.
Space group R-3m (No. 166, hexagonal axes)
One atom of each set of equivalent atoms:
Tm1 0.0000 0.0000 0.2277 [6 per cell]  3 C 2.43
Si1 0.0000 0.0000 0.0000 [3 per cell]  6 Tm 3.07
C1 0.0000 0.0000 0.5000 [3 per cell]  6 Tm 2.43



Ba2Tl4In | PBE-GGA | relaxed

## Properties
- Magnetization: 0.000 μB per formula unit
- Energy of formation from the pure elements: -2.2 eV/f.u.
- DFT total energy: -2.607 eV/atom

a b c (Å): 6.9603 7.1560 10.1820
angles (deg): 90.00 105.05 90.00
Closest atoms and distances in Å follow each position.
Space group P2_1/m (No. 11)
One atom of each set of equivalent atoms:
Ba1 0.1224 0.2500 0.4080 [2 per cell]  5 Tl 3.44-3.78
Ba2 0.2865 0.7500 0.0216 [2 per cell]  7 Tl 3.50-3.90, 1 In 3.85
Tl1 0.2327 0.2500 0.0980 [2 per cell]  1 In 3.05, 2 Tl 3.22
Tl2 0.2992 0.7500 0.4070 [2 per cell]  1 In 3.09, 4 Tl 3.20-3.29
Tl3 0.4100 0.5249 0.6990 [4 per cell]  1 In 3.09, 4 Tl 3.20-3.29
In1 0.1242 0.2500 0.7875 [2 per cell]  4 Tl 3.05-3.09



YHfSi2Te | PBE-GGA | relaxed

## Properties
- Magnetization: 0.000 μB per formula unit
- DFT total energy: -5.932 eV/atom
- Raw formation energy: 0.75 eV/f.u.

a b c (Å): 4.9757 4.9757 5.5771
angles (deg): 90.00 90.00 90.00
Closest atoms and distances in Å follow each position.
Space group P4/mmm (No. 123)
One atom of each set of equivalent atoms:
Y1 0.0000 0.0000 0.0000 [1 per cell]  4 Te 3.52, 8 Si 3.74
Hf1 0.5000 0.5000 0.5000 [1 per cell]  4 Si 2.49
Si1 0.0000 0.5000 0.5000 [2 per cell]  2 Hf 2.49
Te1 0.5000 0.5000 0.0000 [1 per cell]  2 Hf 2.79



Te2PPtN | PBE-GGA | relaxed

## Properties
- Magnetization: 0.000 μB per formula unit
- DFT total energy: -4.693 eV/atom
- Raw formation energy: 2.59 eV/f.u.

a b c (Å): 5.3766 5.3766 3.2230
angles (deg): 90.00 90.00 90.00
Closest atoms and distances in Å follow each position.
Space group P4/mmm (No. 123)
One atom of each set of equivalent atoms:
Te1 0.0000 0.5000 0.0000 [2 per cell]  2 P 2.69
P1 0.0000 0.0000 0.0000 [1 per cell]  2 N 1.61
Pt1 0.5000 0.5000 0.5000 [1 per cell]  8 Te 3.13, 2 Pt 3.22
N1 0.0000 0.0000 0.5000 [1 per cell]  2 P 1.61



Er7Pd3 | PBE-GGA | relaxed

## Properties
- Magnetization: 1.786 μB per formula unit
- Energy of formation from the pure elements: -5.7 eV/f.u.
- DFT total energy: -5.325 eV/atom

a b c (Å): 9.8193 9.8193 6.2226
angles (deg): 90.00 90.00 120.00
Closest atoms and distances in Å follow each position.
Space group P6_3mc (No. 186)
One atom of each set of equivalent atoms:
Er1 0.0799 0.5400 0.0000 [6 per cell]  2 Pd 2.84
Er2 0.1256 0.2512 0.3013 [6 per cell]  3 Pd 2.88-2.91
Er3 0.3333 0.6667 0.4907 [2 per cell]  3 Pd 2.86
Pd1 0.1904 0.3809 0.7343 [6 per cell]  6 Er 2.84-2.91



Ga2Cu5Au5 | PBE-GGA | relaxed

## Properties
- Magnetization: 0.000 μB per formula unit
- Energy of formation from the pure elements: -0.6 eV/f.u.
- DFT total energy: -3.629 eV/atom

a b c (Å): 12.8401 4.3950 7.7361
angles (deg): 90.00 123.20 90.00
Closest atoms and distances in Å follow each position.
Space group C2/m (No. 12)
One atom of each set of equivalent atoms:
Ga1 0.1562 0.0000 0.2840 [4 per cell]  4 Cu 2.46-2.69, 3 Au 2.67-2.76
Cu1 0.0000 0.0000 0.5000 [2 per cell]  4 Cu 2.54-2.55, 4 Au 2.73
Cu2 0.0709 0.0000 0.8792 [4 per cell]  2 Ga 2.46-2.69, 1 Cu 2.55, 5 Au 2.66-2.73
Cu3 0.2360 0.0000 0.7200 [4 per cell]  1 Cu 2.54, 2 Ga 2.61, 3 Au 2.71-2.82
Au1 0.0000 0.5000 0.0000 [2 per cell]  6 Cu 2.73-2.85, 4 Au 2.85-3.05, 4 Ga 2.98
Au2 0.0995 0.5000 0.4324 [4 per cell]  3 Ga 2.67-2.76, 5 Cu 2.73-2.93, 2 Au 2.85-2.86
Au3 0.1798 0.5000 0.8581 [4 per cell]  6 Cu 2.66-2.82, 1 Ga 2.86, 3 Au 2.86-2.93